PBE with a Hubbard U CoSeF2, optimized geometry; ΔE to the lowest computed polymorph = 698 meV per atom
1.0
3.638 -1.733 -1.522
0.290 -4.263 -0.550
0.098 -1.657 -3.975
Co Se F
1 1 2
Direct
0.000 0.000 0.000
0.500 0.500 0.500
0.250 0.250 0.250
0.750 0.750 0.750